Compound: Li2TlHg
Source: Alexandria via LeMat-Bulk
Functional: PBE
Structure: optimized geometry

- ΔE_f: -0.09 eV per atom
- D(E_F): 6.43 states/eV per cell
- Magnetization: 0.00 μB/f.u.
- VASP energy: -6.862 eV per formula unit

a = 3.3654 Å, b = 3.3654 Å, c = 28.4694 Å
α = 90.00°, β = 90.00°, γ = 120.00°
Closest atoms and distances in Å follow each position.
Space group R3m (No. 160, hexagonal axes)
One atom of each set of equivalent atoms:
Li 0.0000 0.0000 0.0000  3 Hg 2.83, 3 Li 3.12
Li 0.0000 0.0000 0.2474  3 Tl 3.01, 9 Li 3.12-3.37
Tl 0.0000 0.0000 0.5001  3 Li 3.01, 3 Hg 3.32, 6 Tl 3.37
Hg 0.0000 0.0000 0.7389  3 Li 2.83